Entry 1:
Computed, not measured: crystalline NbAgBi2 at its relaxed geometry at the PBE level of DFT.

Unit cell a=3.1804 b=3.1804 c=34.7781 alpha=90.00 beta=90.00 gamma=120.00
Positions (direct):
Nb: 0.0000 0.0000 0.0000
Nb: 0.3333 0.6667 0.6667
Nb: 0.6667 0.3333 0.3333
Ag: 0.0000 0.0000 0.5000
Ag: 0.3333 0.6667 0.1667
Ag: 0.6667 0.3333 0.8333
Bi: 0.0000 0.0000 0.0866
Bi: 0.0000 0.0000 0.9134
Bi: 0.3333 0.6667 0.5800
Bi: 0.3333 0.6667 0.7533
Bi: 0.6667 0.3333 0.2467
Bi: 0.6667 0.3333 0.4200

Results
The crystal system is trigonal. The value obtained for the formation energy is 0.625 eV/atom. Its space group is R-3m. The value obtained for the total magnetization is 0.00 μB per formula unit. Its volume is 304.7 Å³ per cell.

Entry 2:
Computed, not measured: crystalline Ac3TlAu at its relaxed geometry at the PBE level of DFT.

Unit cell a=7.1819 b=7.1819 c=10.5916 alpha=96.70 beta=96.70 gamma=42.38
Positions (direct):
Ac: 0.0883 0.0883 0.3676
Ac: 0.3471 0.3471 0.9031
Ac: 0.3681 0.3681 0.3253
Ac: 0.6319 0.6319 0.6747
Ac: 0.6529 0.6529 0.0969
Ac: 0.9117 0.9117 0.6324
Tl: 0.0779 0.0779 0.8975
Tl: 0.9221 0.9221 0.1025
Au: 0.2646 0.2646 0.6050
Au: 0.7354 0.7354 0.3950

Results
The crystal system is monoclinic. The value obtained for the formation energy is -0.424 eV/atom. For the energy above the most stable polymorph in this dataset, the calculation gives 0 meV/atom. Its space group is C2/m. The value obtained for the total magnetization is 0.00 μB per formula unit. Its volume is 365.3 Å³ per cell.

Entry 3:
Computed, not measured: crystalline Sm5AgRh4 at its relaxed geometry at the PBE level of DFT.

Unit cell a=3.5210 b=3.5210 c=17.9944 alpha=90.00 beta=90.00 gamma=90.00
Positions (direct):
Sm: 0.0000 0.0000 0.0000
Sm: 0.0000 0.0000 0.1932
Sm: 0.0000 0.0000 0.3843
Sm: 0.0000 0.0000 0.6157
Sm: 0.0000 0.0000 0.8068
Ag: 0.5000 0.5000 0.5000
Rh: 0.5000 0.5000 0.0973
Rh: 0.5000 0.5000 0.2933
Rh: 0.5000 0.5000 0.7067
Rh: 0.5000 0.5000 0.9027

Results
The crystal system is tetragonal. The value obtained for the formation energy is -0.642 eV/atom. Its space group is P4/mmm. The value obtained for the total magnetization is 0.00 μB per formula unit. Its volume is 223.1 Å³ per cell.

Entry 4:
Computed, not measured: crystalline Ce7SCl12 at its relaxed geometry at the PBE level of DFT.

Unit cell a=9.0165 b=9.0165 c=9.0165 alpha=107.80 beta=107.80 gamma=107.80
Positions (direct):
Ce: 0.0000 0.0000 0.0000
Ce: 0.1709 0.3812 0.4650
Ce: 0.3812 0.4650 0.1709
Ce: 0.4650 0.1709 0.3812
Ce: 0.5350 0.8291 0.6188
Ce: 0.6188 0.5350 0.8291
Ce: 0.8291 0.6188 0.5350
S: 0.5000 0.5000 0.5000
Cl: 0.0277 0.3427 0.1166
Cl: 0.1166 0.0277 0.3427
Cl: 0.1868 0.7207 0.5777
Cl: 0.2793 0.4223 0.8132
Cl: 0.3427 0.1166 0.0277
Cl: 0.4223 0.8132 0.2793
Cl: 0.5777 0.1868 0.7207
Cl: 0.6573 0.8834 0.9723
Cl: 0.7207 0.5777 0.1868
Cl: 0.8132 0.2793 0.4223
Cl: 0.8834 0.9723 0.6573
Cl: 0.9723 0.6573 0.8834

Results
The crystal system is trigonal. As for the uncorrected formation energy: -1989.4 meV/atom. Its space group is R-3. The value obtained for the total magnetization is 7.95 μB per formula unit. Its volume is 596.6 Å³ per cell.

Entry 5:
Computed, not measured: crystalline In2CuRu at its relaxed geometry at the PBE level of DFT.

Unit cell a=6.5158 b=6.5158 c=6.5158 alpha=90.00 beta=90.00 gamma=90.00
Positions (direct):
In: 0.0000 0.0000 0.0000
In: 0.0000 0.5000 0.5000
In: 0.2500 0.2500 0.2500
In: 0.2500 0.7500 0.7500
In: 0.5000 0.0000 0.5000
In: 0.5000 0.5000 0.0000
In: 0.7500 0.2500 0.7500
In: 0.7500 0.7500 0.2500
Cu: 0.0000 0.0000 0.5000
Cu: 0.0000 0.5000 0.0000
Cu: 0.5000 0.0000 0.0000
Cu: 0.5000 0.5000 0.5000
Ru: 0.2500 0.2500 0.7500
Ru: 0.2500 0.7500 0.2500
Ru: 0.7500 0.2500 0.2500
Ru: 0.7500 0.7500 0.7500

Results
The crystal system is cubic. The value obtained for the formation energy is 0.351 eV/atom. Its space group is F-43m. The value obtained for the total magnetization is 0.00 μB per formula unit. Its volume is 276.6 Å³ per cell.

Entry 6:
Computed, not measured: crystalline Er2NbSe at its relaxed geometry at the PBE level of DFT.

Unit cell a=3.4937 b=3.4937 c=28.7670 alpha=90.00 beta=90.00 gamma=120.00
Positions (direct):
Er: 0.0000 0.0000 0.0998
Er: 0.0000 0.0000 0.9002
Er: 0.3333 0.6667 0.5669
Er: 0.3333 0.6667 0.7665
Er: 0.6667 0.3333 0.2335
Er: 0.6667 0.3333 0.4331
Nb: 0.0000 0.0000 0.0000
Nb: 0.3333 0.6667 0.6667
Nb: 0.6667 0.3333 0.3333
Se: 0.0000 0.0000 0.5000
Se: 0.3333 0.6667 0.1667
Se: 0.6667 0.3333 0.8333

Results
The crystal system is trigonal. As for the uncorrected formation energy: -67.6 meV/atom. Its space group is R-3m. The value obtained for the total magnetization is 0.48 μB per formula unit. Its volume is 304.1 Å³ per cell.

Entry 7:
Computed, not measured: crystalline LiZrAg at its relaxed geometry at the PBE level of DFT.

Unit cell a=2.9512 b=2.9512 c=13.0229 alpha=90.00 beta=90.00 gamma=90.00
Positions (direct):
Li: 0.0000 0.0000 0.0000
Li: 0.5000 0.5000 0.5000
Zr: 0.0000 0.0000 0.3119
Zr: 0.5000 0.5000 0.8119
Ag: 0.0000 0.0000 0.6387
Ag: 0.5000 0.5000 0.1387

Results
The crystal system is tetragonal. The value obtained for the formation energy is 0.058 eV/atom. For the energy above the most stable polymorph in this dataset, the calculation gives 182 meV/atom. Its space group is I4mm. The value obtained for the total magnetization is 0.00 μB per formula unit. Its volume is 113.4 Å³ per cell.

Entry 8:
Computed, not measured: crystalline Tb6TlHg at its relaxed geometry at the PBE level of DFT.

Unit cell a=4.8509 b=4.8509 c=9.6783 alpha=90.00 beta=90.00 gamma=90.00
Positions (direct):
Tb: 0.0000 0.0000 0.0000
Tb: 0.0000 0.0000 0.5000
Tb: 0.0000 0.5000 0.2467
Tb: 0.0000 0.5000 0.7533
Tb: 0.5000 0.0000 0.2467
Tb: 0.5000 0.0000 0.7533
Tl: 0.5000 0.5000 0.5000
Hg: 0.5000 0.5000 0.0000

Results
The crystal system is tetragonal. The value obtained for the formation energy is -0.173 eV/atom. For the energy above the most stable polymorph in this dataset, the calculation gives 19 meV/atom. Its space group is P4/mmm. The value obtained for the total magnetization is 2.01 μB per formula unit. Its volume is 227.7 Å³ per cell.